# 1
# Mn2AlOs | Alexandria | PBE | optimized geometry
# - E_form (eV/atom) = -0.01
# - mass density (g cm⁻³) = 10.945
# - total DFT energy (no corrections) (eV per cell) = -33.35
data_Mn2AlOs
_chemical_formula_sum 'Mn2 Al1 Os1'
_symmetry_space_group_name_H-M 'P 4/m m m'
_symmetry_Int_Tables_number 123
_symmetry_space_group_name_Hall '-P 4 2'
_cell_length_a 4.156
_cell_length_b 4.156
_cell_length_c 2.873
_cell_angle_alpha 90.00
_cell_angle_beta 90.00
_cell_angle_gamma 90.00
loop_
_atom_site_label
_atom_site_fract_x
_atom_site_fract_y
_atom_site_fract_z
_atom_site_occupancy
Mn1 0.000 0.500 0.000 1
Al1 0.000 0.000 0.500 1
Os1 0.500 0.500 0.500 1

# 2
# Mn2AlOs | Alexandria | PBE | optimized geometry
# - E_form (eV/atom) = -0.11
# - mass density (g cm⁻³) = 10.768
# - total DFT energy (no corrections) (eV per cell) = -33.75
data_Mn2AlOs
_chemical_formula_sum 'Mn2 Al1 Os1'
_symmetry_space_group_name_H-M 'P 4/m m m'
_symmetry_Int_Tables_number 123
_symmetry_space_group_name_Hall '-P 4 2'
_cell_length_a 2.720
_cell_length_b 2.720
_cell_length_c 6.818
_cell_angle_alpha 90.00
_cell_angle_beta 90.00
_cell_angle_gamma 90.00
loop_
_atom_site_label
_atom_site_fract_x
_atom_site_fract_y
_atom_site_fract_z
_atom_site_occupancy
Mn1 0.000 0.000 0.248 1
Al1 0.500 0.500 0.000 1
Os1 0.500 0.500 0.500 1

# 3
# Mn2AlOs | Alexandria | PBE | optimized geometry
# - E_form (eV/atom) = -0.14
# - mass density (g cm⁻³) = 10.717
# - total DFT energy (no corrections) (eV per cell) = -33.86
data_Mn2AlOs
_chemical_formula_sum 'Mn2 Al1 Os1'
_symmetry_space_group_name_H-M 'P 4 m m'
_symmetry_Int_Tables_number 99
_symmetry_space_group_name_Hall 'P 4 -2'
_cell_length_a 2.926
_cell_length_b 2.926
_cell_length_c 5.920
_cell_angle_alpha 90.00
_cell_angle_beta 90.00
_cell_angle_gamma 90.00
loop_
_atom_site_label
_atom_site_fract_x
_atom_site_fract_y
_atom_site_fract_z
_atom_site_occupancy
Mn1 0.000 0.000 0.000 1
Mn2 0.500 0.500 0.222 1
Al1 0.500 0.500 0.750 1
Os1 0.000 0.000 0.482 1

# 4
# Mn4AlOs | Alexandria | PBE | optimized geometry
# - E_form (eV/atom) = -0.01
# - mass density (g cm⁻³) = 10.127
# - total DFT energy (no corrections) (eV per cell) = -206.82
data_Mn4AlOs
_chemical_formula_sum 'Mn16 Al4 Os4'
_symmetry_space_group_name_H-M 'F -4 3 m'
_symmetry_Int_Tables_number 216
_symmetry_space_group_name_Hall 'F -4 2 3'
_cell_length_a 6.593
_cell_length_b 6.593
_cell_length_c 6.593
_cell_angle_alpha 90.00
_cell_angle_beta 90.00
_cell_angle_gamma 90.00
loop_
_atom_site_label
_atom_site_fract_x
_atom_site_fract_y
_atom_site_fract_z
_atom_site_occupancy
Mn1 0.123 0.123 0.123 1
Al1 0.250 0.250 0.750 1
Os1 0.000 0.000 0.500 1

Among the records above, which one has the highest mass density? number 1